VASP calculation (PBE) on KAsIr2C after structural relaxation.

a b c (Å): 4.859 4.199 4.859
angles (deg): 90.00 90.00 90.00
Each line ends with the local moment (μB).
Element x y z (fractional)
C 0.000 0.500 0.000  0.19
K 0.000 0.000 0.000  0.05
Ir 0.500 0.000 0.000  0.24
As 0.500 0.500 0.500  -0.01
Ir 0.000 0.000 0.500  0.15

Values from the calculation:
- Size of the total moment: 0.75 μB/f.u.
- DFT formation energy: 17.40 eV per formula unit
- DOS(E_F): 6.443 states/eV/f.u.
- ρ: 8.5 g cm⁻³
- Crystal system: tetragonal